No. 1
Compound: SrCoI2N
Source: the Alexandria database
Functional: GGA-PBE
Structure: relaxed

- raw formation energy (eV per atom) = -0.220

Cell: 5.686 5.686 3.648 Å, 90.00 90.00 90.00°
Each line ends with the local moment (μB).
Positions (direct):
I1 0.000 0.500 0.000  0.01
I2 0.500 0.000 0.000  0.01
Sr1 0.500 0.500 0.500  0.00
Co1 0.000 0.000 0.000  0.13
N1 0.000 0.000 0.500  0.07

---

No. 2
Compound: SrCoIN2
Source: the Alexandria database
Functional: GGA-PBE
Structure: relaxed

- raw formation energy (eV per atom) = 1.732

Cell: 4.806 4.806 6.726 Å, 90.00 90.00 90.00°
Each line ends with the local moment (μB).
Positions (direct):
I1 0.000 0.000 0.500  0.04
Sr1 0.000 0.000 0.000  0.05
Co1 0.500 0.500 0.500  2.14
N1 0.000 0.500 0.000  1.31
N2 0.500 0.000 0.000  1.31

---

No. 3
Compound: SrCoIN2
Source: the Alexandria database
Functional: GGA-PBE
Structure: relaxed

- raw formation energy (eV per atom) = 0.644

Cell: 4.183 4.183 5.220 Å, 90.00 90.00 90.00°
Each line ends with the local moment (μB).
Positions (direct):
I1 0.000 0.000 0.500  0.06
Sr1 0.500 0.500 0.500  0.00
Co1 0.000 0.000 0.000  1.51
N1 0.000 0.500 0.000  0.77
N2 0.500 0.000 0.000  0.77

---

No. 4
Compound: TaCoIN2
Source: the Alexandria database
Functional: GGA-PBE
Structure: relaxed

- raw formation energy (eV per atom) = 1.703

Cell: 3.888 3.888 4.832 Å, 90.00 90.00 90.00°
Each line ends with the local moment (μB).
Positions (direct):
I1 0.000 0.000 0.500  0.01
N1 0.000 0.500 0.000  -0.09
N2 0.500 0.000 0.000  -0.09
Co1 0.000 0.000 0.000  0.33
Ta1 0.500 0.500 0.500  0.42

---

No. 5
Compound: TaCoI2N
Source: the Alexandria database
Functional: GGA-PBE
Structure: relaxed

- raw formation energy (eV per atom) = 0.946

Cell: 5.378 5.378 3.432 Å, 90.00 90.00 90.00°
Each line ends with the local moment (μB).
Positions (direct):
I1 0.000 0.500 0.000  -0.04
I2 0.500 0.000 0.000  -0.04
N1 0.000 0.000 0.500  -0.05
Co1 0.000 0.000 0.000  0.06
Ta1 0.500 0.500 0.500  1.38

---

No. 6
Compound: TaCoIN2
Source: the Alexandria database
Functional: GGA-PBE
Structure: relaxed

- raw formation energy (eV per atom) = 0.667

Cell: 3.986 3.986 5.973 Å, 90.00 90.00 90.00°
Each line ends with the local moment (μB).
Positions (direct):
I1 0.000 0.000 0.500  0.04
N1 0.000 0.500 0.000  0.17
N2 0.500 0.000 0.000  0.17
Co1 0.500 0.500 0.500  1.92
Ta1 0.000 0.000 0.000  -0.08

---

No. 7
Compound: TaCoI2N
Source: the Alexandria database
Functional: GGA-PBE
Structure: relaxed

- raw formation energy (eV per atom) = 0.680

Cell: 5.664 5.664 3.902 Å, 90.00 90.00 90.00°
Each line ends with the local moment (μB).
Positions (direct):
I1 0.000 0.500 0.000  0.03
I2 0.500 0.000 0.000  0.03
N1 0.000 0.000 0.500  -0.02
Co1 0.500 0.500 0.500  2.19
Ta1 0.000 0.000 0.000  0.32

---

No. 8
Compound: CoTcIN2
Source: the Alexandria database
Functional: GGA-PBE
Structure: relaxed

- raw formation energy (eV per atom) = 0.956

Cell: 3.827 3.827 5.901 Å, 90.00 90.00 90.00°
Each line ends with the local moment (μB).
Positions (direct):
I1 0.000 0.000 0.500  0.04
Co1 0.500 0.500 0.500  1.80
Tc1 0.000 0.000 0.000  -0.04
N1 0.000 0.500 0.000  0.04
N2 0.500 0.000 0.000  0.04

---

No. 9
Compound: CoTcIN2
Source: the Alexandria database
Functional: GGA-PBE
Structure: relaxed

- raw formation energy (eV per atom) = 1.651

Cell: 3.785 3.785 5.456 Å, 90.00 90.00 90.00°
Each line ends with the local moment (μB).
Positions (direct):
I1 0.000 0.000 0.500  -0.05
Co1 0.000 0.000 0.000  -1.27
Tc1 0.500 0.500 0.500  2.38
N1 0.000 0.500 0.000  -0.68
N2 0.500 0.000 0.000  -0.68

---

No. 10
Compound: CoTeIN2
Source: the Alexandria database
Functional: GGA-PBE
Structure: relaxed

- raw formation energy (eV per atom) = 1.605

Cell: 3.968 3.968 7.721 Å, 90.00 90.00 90.00°
Each line ends with the local moment (μB).
Positions (direct):
I1 0.000 0.000 0.500  0.06
Te1 0.000 0.000 0.000  -0.01
Co1 0.500 0.500 0.500  2.01
N1 0.000 0.500 0.000  0.00
N2 0.500 0.000 0.000  0.00

---

No. 11
Compound: CoTeIN2
Source: the Alexandria database
Functional: GGA-PBE
Structure: relaxed

- raw formation energy (eV per atom) = 1.393

Cell: 4.062 4.062 5.416 Å, 90.00 90.00 90.00°
Each line ends with the local moment (μB).
Positions (direct):
I1 0.500 0.500 0.500  0.04
Te1 0.000 0.000 0.500  0.01
Co1 0.000 0.000 0.000  1.16
N1 0.000 0.500 0.000  0.95
N2 0.500 0.000 0.000  0.95

---

No. 12
Compound: CoTe2IN
Source: the Alexandria database
Functional: GGA-PBE
Structure: relaxed

- raw formation energy (eV per atom) = 1.290

Cell: 4.958 4.958 5.593 Å, 90.00 90.00 90.00°
Each line ends with the local moment (μB).
Positions (direct):
I1 0.000 0.000 0.500  0.10
Te1 0.000 0.500 0.000  -0.10
Te2 0.500 0.000 0.000  -0.10
Co1 0.000 0.000 0.000  -0.66
N1 0.500 0.500 0.500  1.79

---

No. 13
Compound: CoTe2IN
Source: the Alexandria database
Functional: GGA-PBE
Structure: relaxed

- raw formation energy (eV per atom) = 1.672

Cell: 5.940 5.940 3.886 Å, 90.00 90.00 90.00°
Each line ends with the local moment (μB).
Positions (direct):
I1 0.000 0.000 0.000  -0.01
Te1 0.000 0.500 0.000  0.03
Te2 0.500 0.000 0.000  0.03
Co1 0.500 0.500 0.500  2.22
N1 0.000 0.000 0.500  0.00

---

No. 14
Compound: CoTe2IN
Source: the Alexandria database
Functional: GGA-PBE
Structure: relaxed

- raw formation energy (eV per atom) = 1.226

Cell: 4.811 4.811 4.745 Å, 90.00 90.00 90.00°
Each line ends with the local moment (μB).
Positions (direct):
I1 0.000 0.000 0.500  0.06
Te1 0.000 0.500 0.000  0.12
Te2 0.500 0.000 0.000  0.12
Co1 0.500 0.500 0.500  2.14
N1 0.000 0.000 0.000  0.00

---

No. 15
Compound: CoTeIN2
Source: the Alexandria database
Functional: GGA-PBE
Structure: relaxed

- raw formation energy (eV per atom) = 1.976

Cell: 3.919 3.919 7.106 Å, 90.00 90.00 90.00°
Each line ends with the local moment (μB).
Positions (direct):
I1 0.000 0.000 0.000  -0.01
Te1 0.000 0.000 0.500  0.04
Co1 0.500 0.500 0.500  1.91
N1 0.000 0.500 0.000  0.01
N2 0.500 0.000 0.000  0.01

---

No. 16
Compound: CoTeIN2
Source: the Alexandria database
Functional: GGA-PBE
Structure: relaxed

- raw formation energy (eV per atom) = 1.594

Cell: 4.024 4.024 5.294 Å, 90.00 90.00 90.00°
Each line ends with the local moment (μB).
Positions (direct):
I1 0.000 0.000 0.500  0.03
Te1 0.500 0.500 0.500  -0.10
Co1 0.000 0.000 0.000  0.98
N1 0.000 0.500 0.000  -0.01
N2 0.500 0.000 0.000  -0.01

---

No. 17
Compound: CoTe2IN
Source: the Alexandria database
Functional: GGA-PBE
Structure: relaxed

- raw formation energy (eV per atom) = 0.468

Cell: 5.632 5.632 3.442 Å, 90.00 90.00 90.00°
Positions (direct):
I1 0.500 0.500 0.500
Te1 0.000 0.500 0.000
Te2 0.500 0.000 0.000
Co1 0.000 0.000 0.000
N1 0.000 0.000 0.500

---

No. 18
Compound: TlCoI2N
Source: the Alexandria database
Functional: GGA-PBE
Structure: relaxed

- raw formation energy (eV per atom) = 1.415

Cell: 6.174 6.174 4.156 Å, 90.00 90.00 90.00°
Each line ends with the local moment (μB).
Positions (direct):
I1 0.000 0.500 0.000  0.06
I2 0.500 0.000 0.000  0.06
Tl1 0.000 0.000 0.000  -0.01
Co1 0.500 0.500 0.500  2.19
N1 0.000 0.000 0.500  0.73

---

No. 19
Compound: TlCoI2N
Source: the Alexandria database
Functional: GGA-PBE
Structure: relaxed

- raw formation energy (eV per atom) = 0.247

Cell: 5.874 5.874 3.535 Å, 90.00 90.00 90.00°
Positions (direct):
I1 0.000 0.500 0.000
I2 0.500 0.000 0.000
Tl1 0.500 0.500 0.500
Co1 0.000 0.000 0.000
N1 0.000 0.000 0.500

---

No. 20
Compound: VCoIN2
Source: the Alexandria database
Functional: GGA-PBE
Structure: relaxed

- raw formation energy (eV per atom) = 0.732

Cell: 3.755 3.755 5.842 Å, 90.00 90.00 90.00°
Each line ends with the local moment (μB).
Positions (direct):
I1 0.000 0.000 0.500  0.06
N1 0.000 0.500 0.000  0.24
N2 0.500 0.000 0.000  0.24
Co1 0.500 0.500 0.500  1.78
V1 0.000 0.000 0.000  -0.36

---

No. 21
Compound: VCoIN2
Source: the Alexandria database
Functional: GGA-PBE
Structure: relaxed

- raw formation energy (eV per atom) = 1.466

Cell: 3.665 3.665 5.827 Å, 90.00 90.00 90.00°
Each line ends with the local moment (μB).
Positions (direct):
I1 0.000 0.000 0.500  -0.02
N1 0.000 0.500 0.000  0.02
N2 0.500 0.000 0.000  0.02
Co1 0.000 0.000 0.000  0.12
V1 0.500 0.500 0.500  -0.22

---

No. 22
Compound: CoWI2N
Source: the Alexandria database
Functional: GGA-PBE
Structure: relaxed

- raw formation energy (eV per atom) = 1.241

Cell: 5.325 5.325 3.415 Å, 90.00 90.00 90.00°
Each line ends with the local moment (μB).
Positions (direct):
I1 0.000 0.500 0.000  -0.04
I2 0.500 0.000 0.000  -0.04
Co1 0.000 0.000 0.000  0.07
W1 0.500 0.500 0.500  1.89
N1 0.000 0.000 0.500  0.00

---

No. 23
Compound: CoWIN2
Source: the Alexandria database
Functional: GGA-PBE
Structure: relaxed

- raw formation energy (eV per atom) = 1.962

Cell: 3.869 3.869 5.069 Å, 90.00 90.00 90.00°
Each line ends with the local moment (μB).
Positions (direct):
I1 0.000 0.000 0.500  -0.05
Co1 0.000 0.000 0.000  -1.09
W1 0.500 0.500 0.500  2.29
N1 0.000 0.500 0.000  -0.70
N2 0.500 0.000 0.000  -0.70

---

No. 24
Compound: CoWIN2
Source: the Alexandria database
Functional: GGA-PBE
Structure: relaxed

- raw formation energy (eV per atom) = 0.822

Cell: 3.898 3.898 5.927 Å, 90.00 90.00 90.00°
Each line ends with the local moment (μB).
Positions (direct):
I1 0.000 0.000 0.500  0.04
Co1 0.500 0.500 0.500  1.87
W1 0.000 0.000 0.000  0.00
N1 0.000 0.500 0.000  0.01
N2 0.500 0.000 0.000  0.01

---

No. 25
Compound: CoWI2N
Source: the Alexandria database
Functional: GGA-PBE
Structure: relaxed

- raw formation energy (eV per atom) = 0.920

Cell: 5.565 5.565 3.820 Å, 90.00 90.00 90.00°
Each line ends with the local moment (μB).
Positions (direct):
I1 0.000 0.500 0.000  0.04
I2 0.500 0.000 0.000  0.04
Co1 0.500 0.500 0.500  2.12
W1 0.000 0.000 0.000  0.23
N1 0.000 0.000 0.500  -0.01

---

No. 26
Compound: YCoI2N
Source: the Alexandria database
Functional: GGA-PBE
Structure: relaxed

- raw formation energy (eV per atom) = 0.484

Cell: 6.135 6.135 4.100 Å, 90.00 90.00 90.00°
Each line ends with the local moment (μB).
Positions (direct):
I1 0.000 0.500 0.000  0.03
I2 0.500 0.000 0.000  0.03
Y1 0.000 0.000 0.000  -0.01
Co1 0.500 0.500 0.500  2.19
N1 0.000 0.000 0.500  0.10

---

No. 27
Compound: YCoI2N
Source: the Alexandria database
Functional: GGA-PBE
Structure: relaxed

- raw formation energy (eV per atom) = 0.033

Cell: 5.573 5.573 3.553 Å, 90.00 90.00 90.00°
Positions (direct):
I1 0.000 0.500 0.000
I2 0.500 0.000 0.000
Y1 0.500 0.500 0.500
Co1 0.000 0.000 0.000
N1 0.000 0.000 0.500

---

No. 28
Compound: ZrCoI2N
Source: the Alexandria database
Functional: GGA-PBE
Structure: relaxed

- raw formation energy (eV per atom) = 0.422

Cell: 5.457 5.457 3.486 Å, 90.00 90.00 90.00°
Each line ends with the local moment (μB).
Positions (direct):
I1 0.000 0.500 0.000  -0.03
I2 0.500 0.000 0.000  -0.03
Co1 0.000 0.000 0.000  0.11
Zr1 0.500 0.500 0.500  0.90
N1 0.000 0.000 0.500  -0.02

---

No. 29
Compound: ZrCoIN2
Source: the Alexandria database
Functional: GGA-PBE
Structure: relaxed

- raw formation energy (eV per atom) = 0.759

Cell: 4.120 4.120 6.233 Å, 90.00 90.00 90.00°
Each line ends with the local moment (μB).
Positions (direct):
I1 0.000 0.000 0.500  0.04
Co1 0.500 0.500 0.500  2.04
Zr1 0.000 0.000 0.000  -0.04
N1 0.000 0.500 0.000  0.17
N2 0.500 0.000 0.000  0.17

---

Number 1: energy relative to the lowest polymorph listed for this composition 0.00 eV per formula unit. Number 2: energy relative to the lowest polymorph listed for this composition 5.44 eV per formula unit. Number 3: energy relative to the lowest polymorph listed for this composition 0.00 eV per formula unit. Number 4: energy relative to the lowest polymorph listed for this composition 5.18 eV per formula unit. Number 5: energy relative to the lowest polymorph listed for this composition 1.33 eV per formula unit. Number 6: energy relative to the lowest polymorph listed for this composition 0.00 eV per formula unit. Number 7: energy relative to the lowest polymorph listed for this composition 0.00 eV per formula unit. Number 8: energy relative to the lowest polymorph listed for this composition 0.00 eV per formula unit. Number 9: energy relative to the lowest polymorph listed for this composition 3.48 eV per formula unit. Number 10: energy relative to the lowest polymorph listed for this composition 1.06 eV per formula unit. Number 11: energy relative to the lowest polymorph listed for this composition 0.00 eV per formula unit. Number 12: energy relative to the lowest polymorph listed for this composition 4.11 eV per formula unit. Number 13: energy relative to the lowest polymorph listed for this composition 6.02 eV per formula unit. Number 14: energy relative to the lowest polymorph listed for this composition 3.79 eV per formula unit. Number 15: energy relative to the lowest polymorph listed for this composition 2.92 eV per formula unit. Number 16: energy relative to the lowest polymorph listed for this composition 1.00 eV per formula unit. Number 17: energy relative to the lowest polymorph listed for this composition 0.00 eV per formula unit. Number 18: energy relative to the lowest polymorph listed for this composition 5.84 eV per formula unit. Number 19: energy relative to the lowest polymorph listed for this composition 0.00 eV per formula unit. Number 20: energy relative to the lowest polymorph listed for this composition 0.00 eV per formula unit. Number 21: energy relative to the lowest polymorph listed for this composition 3.67 eV per formula unit. Number 22: energy relative to the lowest polymorph listed for this composition 1.60 eV per formula unit. Number 23: energy relative to the lowest polymorph listed for this composition 5.70 eV per formula unit. Number 24: energy relative to the lowest polymorph listed for this composition 0.00 eV per formula unit. Number 25: energy relative to the lowest polymorph listed for this composition 0.00 eV per formula unit. Number 26: energy relative to the lowest polymorph listed for this composition 2.26 eV per formula unit. Number 27: energy relative to the lowest polymorph listed for this composition 0.00 eV per formula unit. Number 28: energy relative to the lowest polymorph listed for this composition 0.00 eV per formula unit. Number 29: energy relative to the lowest polymorph listed for this composition 0.00 eV per formula unit.